No. 1
This record from Alexandria describes crystalline YSiRu2 at its relaxed geometry. The functional is GGA-PBE.

Calculated values
The density of states at the Fermi level is 2.3 states/eV/f.u. The density comes out at 8.22 g/cm³. The crystal system is monoclinic. The value obtained for the raw formation energy is -0.407 eV per atom. The space group is P2/m (10). As for the total magnetization: 0.00 μB per formula unit.

Lattice parameters (Å, degrees): 3.153 3.148 6.495 90.00 90.74 90.00
Element x y z (fractional)
Y1 0.000 0.000 0.000
Si1 0.000 0.000 0.500
Ru1 0.493 0.500 0.708
Ru2 0.507 0.500 0.292

No. 2
This record from Alexandria describes crystalline CaP2AuS at its relaxed geometry. The functional is GGA-PBE.

Calculated values
The density of states at the Fermi level is 3.8 states/eV/f.u. The density comes out at 3.98 g/cm³. The crystal system is tetragonal. The value obtained for the raw formation energy is 1.055 eV per atom. Its energy relative to the lowest polymorph listed for this composition is 868 meV/atom. The space group is P4/mmm (123). As for the total magnetization: 0.00 μB per formula unit.

Lattice parameters (Å, degrees): 5.242 5.242 5.032 90.00 90.00 90.00
Element x y z (fractional)
Ca1 0.000 0.000 0.000
P1 0.000 0.500 0.000
P2 0.500 0.000 0.000
Au1 0.500 0.500 0.500
S1 0.000 0.000 0.500

No. 3
This record from Alexandria describes crystalline Na2Sr2Cl at its relaxed geometry. The functional is GGA-PBE.

Calculated values
The density of states at the Fermi level is 2.9 states/eV/f.u. The density comes out at 2.00 g/cm³. The crystal system is tetragonal. The value obtained for the raw formation energy is -0.394 eV per atom. Its energy relative to the lowest polymorph listed for this composition is 170 meV/atom. The space group is P4/mbm (127). As for the total magnetization: 0.00 μB per formula unit.

Lattice parameters (Å, degrees): 7.850 7.850 6.900 90.00 90.00 90.00
Element x y z (fractional)
Na1 0.158 0.342 0.000
Na2 0.342 0.842 0.000
Na3 0.658 0.158 0.000
Na4 0.842 0.658 0.000
Sr1 0.175 0.675 0.500
Sr2 0.325 0.175 0.500
Sr3 0.675 0.825 0.500
Sr4 0.825 0.325 0.500
Cl1 0.000 0.000 0.000
Cl2 0.500 0.500 0.000

No. 4
This record from Alexandria describes crystalline Ba2MoAu at its relaxed geometry. The functional is GGA-PBE.

Calculated values
As for the formation energy: 1.44 eV per formula unit. The density of states at the Fermi level is 3.9 states/eV/f.u. The density comes out at 6.69 g/cm³. The crystal system is orthorhombic. Its energy relative to the lowest polymorph listed for this composition is 0 meV/atom. The space group is Amm2 (38). As for the total magnetization: 2.21 μB per formula unit.

Lattice parameters (Å, degrees): 4.751 6.418 6.418 46.02 90.00 90.00
Element x y z (fractional)
Ba1 0.000 0.000 0.000
Ba2 0.500 0.294 0.294
Mo1 0.000 0.689 0.689
Au1 0.500 0.592 0.592